Sr6Ca3Ir | PBE-GGA | relaxed

Cell and atoms, written as POSCAR:
```
Sr6Ca3Ir
1.0
8.859 -8.715 0.000
8.859 8.715 0.000
0.000 0.000 5.956
Sr Ca Ir
12 6 2
direct
0.084 0.588 0.500 Sr
0.085 0.915 0.500 Sr
0.245 0.755 0.000 Sr
0.255 0.418 0.999 Sr
0.412 0.916 0.500 Sr
0.418 0.255 0.499 Sr
0.582 0.745 0.999 Sr
0.588 0.084 0.000 Sr
0.745 0.582 0.499 Sr
0.755 0.245 0.500 Sr
0.915 0.085 0.000 Sr
0.916 0.412 0.000 Sr
0.093 0.249 0.500 Ca
0.249 0.093 0.000 Ca
0.411 0.589 0.499 Ca
0.589 0.411 0.999 Ca
0.751 0.907 0.500 Ca
0.907 0.751 0.000 Ca
0.253 0.747 0.500 Ir
0.747 0.253 0.000 Ir
```

## Properties
Magnetization   0.00 μB per formula unit
Crystal system   orthorhombic
D(E_F)   8.6 states/eV/f.u.
Energy relative to the elements   -0.081 eV/atom

=====

Pr5Ga3 | PBE-GGA | relaxed

Cell and atoms, written as POSCAR:
```
Pr5Ga3
1.0
-6.083 6.083 3.076
6.083 -6.083 3.076
6.083 6.083 -3.076
Pr Ga
10 6
direct
0.087 0.785 0.872 Pr
0.215 0.087 0.302 Pr
0.250 0.750 0.500 Pr
0.285 0.587 0.872 Pr
0.413 0.285 0.698 Pr
0.587 0.715 0.302 Pr
0.715 0.413 0.128 Pr
0.750 0.250 0.500 Pr
0.785 0.913 0.698 Pr
0.913 0.215 0.128 Pr
0.159 0.341 0.500 Ga
0.250 0.250 0.000 Ga
0.341 0.841 0.182 Ga
0.659 0.159 0.818 Ga
0.750 0.750 0.000 Ga
0.841 0.659 0.500 Ga
```

## Properties
Magnetization   0.00 μB per formula unit
Offset from the most stable computed form   16 meV per atom
Crystal system   tetragonal
D(E_F)   6.7 states/eV/f.u.
Energy relative to the elements   -0.432 eV/atom

=====

NaMg3Co | PBE-GGA | relaxed

Cell and atoms, written as POSCAR:
```
NaMg3Co
1.0
4.913 0.000 0.000
0.000 4.913 0.000
0.000 0.000 4.913
Na Mg Co
1 3 1
direct
0.000 0.000 0.000 Na
0.000 0.500 0.500 Mg
0.500 0.000 0.500 Mg
0.500 0.500 0.000 Mg
0.500 0.500 0.500 Co
```

## Properties
Magnetization   0.00 μB per formula unit
Offset from the most stable computed form   0 meV per atom
Crystal system   cubic
D(E_F)   1.9 states/eV/f.u.
Energy relative to the elements   0.202 eV/atom

=====

Ti8MnGa2 | PBE-GGA | relaxed

Cell and atoms, written as POSCAR:
```
Ti8MnGa2
1.0
-2.283 2.990 6.495
2.283 -2.990 6.495
2.283 2.990 -6.495
Ti Mn Ga
8 1 2
direct
0.135 0.368 0.767 Ti
0.179 0.179 0.000 Ti
0.259 0.000 0.259 Ti
0.399 0.632 0.767 Ti
0.601 0.368 0.233 Ti
0.741 0.000 0.741 Ti
0.821 0.821 0.000 Ti
0.865 0.632 0.233 Ti
0.000 0.500 0.500 Mn
0.312 0.812 0.500 Ga
0.688 0.188 0.500 Ga
```

## Properties
Magnetization   0.01 μB per formula unit
Crystal system   orthorhombic
D(E_F)   13.5 states/eV/f.u.
Energy relative to the elements   -0.236 eV/atom

=====

AgSCl | PBE-GGA | relaxed

Cell and atoms, written as POSCAR:
```
AgSCl
1.0
5.232 0.000 0.000
0.000 5.231 0.000
-0.107 0.000 4.891
Ag S Cl
2 2 2
direct
0.000 0.000 0.000 Ag
0.500 0.500 0.000 Ag
0.000 0.500 0.000 S
0.500 0.000 0.000 S
0.000 0.500 0.500 Cl
0.500 0.000 0.500 Cl
```

## Properties
Magnetization   0.00 μB per formula unit
Uncorrected formation energy   4.0 kJ per mole of atoms
Offset from the most stable computed form   292 meV per atom
Crystal system   monoclinic
D(E_F)   0.4 states/eV/f.u.

=====

WS2BrN | PBE-GGA | relaxed

Cell and atoms, written as POSCAR:
```
WS2BrN
1.0
4.827 0.000 0.000
0.000 4.827 0.000
0.000 0.000 3.878
W S Br N
1 2 1 1
direct
0.000 0.000 0.000 W
0.000 0.500 0.000 S
0.500 0.000 0.000 S
0.500 0.500 0.500 Br
0.000 0.000 0.500 N
```

## Properties
Magnetization   0.00 μB per formula unit
Uncorrected formation energy   34.1 kJ per mole of atoms
Offset from the most stable computed form   0 meV per atom
Crystal system   tetragonal
D(E_F)   5.1 states/eV/f.u.

=====

Sc3Ga8Mo | PBE-GGA | relaxed

Cell and atoms, written as POSCAR:
```
Sc3Ga8Mo
1.0
-3.732 3.732 4.534
3.732 -3.732 4.534
3.732 3.732 -4.534
Sc Ga Mo
3 8 1
direct
0.000 0.000 0.000 Sc
0.250 0.750 0.500 Sc
0.750 0.250 0.500 Sc
0.134 0.407 0.000 Ga
0.225 0.225 0.515 Ga
0.290 0.775 0.000 Ga
0.407 0.134 0.000 Ga
0.593 0.593 0.727 Ga
0.710 0.710 0.485 Ga
0.775 0.290 0.000 Ga
0.866 0.866 0.273 Ga
0.500 0.500 0.000 Mo
```

## Properties
Magnetization   0.00 μB per formula unit
Crystal system   tetragonal
D(E_F)   8.6 states/eV/f.u.
Energy relative to the elements   0.029 eV/atom

=====

Ta2TcIF | PBE-GGA | relaxed

Cell and atoms, written as POSCAR:
```
Ta2TcIF
1.0
5.073 0.000 0.000
0.000 5.073 0.000
0.000 0.000 4.823
Ta Tc I F
2 1 1 1
direct
0.000 0.500 0.000 Ta
0.500 0.000 0.000 Ta
0.000 0.000 0.500 Tc
0.000 0.000 0.000 I
0.500 0.500 0.500 F
```

## Properties
Magnetization   0.57 μB per formula unit
Uncorrected formation energy   205.4 kJ per mole of atoms
Offset from the most stable computed form   1286 meV per atom
Crystal system   tetragonal
D(E_F)   5.2 states/eV/f.u.

=====

ReBiAu2 | PBE-GGA | relaxed

Cell and atoms, written as POSCAR:
```
ReBiAu2
1.0
7.873 0.000 0.000
0.000 7.873 0.000
0.000 0.000 5.458
Re Bi Au
4 4 8
direct
0.000 0.000 0.000 Re
0.000 0.500 0.250 Re
0.500 0.000 0.750 Re
0.500 0.500 0.500 Re
0.000 0.000 0.500 Bi
0.000 0.500 0.750 Bi
0.500 0.000 0.250 Bi
0.500 0.500 0.000 Bi
0.217 0.750 0.125 Au
0.250 0.217 0.875 Au
0.250 0.283 0.375 Au
0.283 0.750 0.625 Au
0.717 0.250 0.625 Au
0.750 0.717 0.375 Au
0.750 0.783 0.875 Au
0.783 0.250 0.125 Au
```

## Properties
Magnetization   0.00 μB per formula unit
Offset from the most stable computed form   0 meV per atom
Crystal system   tetragonal
D(E_F)   0.3 states/eV/f.u.
Energy relative to the elements   0.750 eV/atom

=====

HgPb2W | PBE-GGA | relaxed

Cell and atoms, written as POSCAR:
```
HgPb2W
1.0
3.192 0.000 0.000
-1.596 2.764 0.000
0.000 0.000 34.721
Hg Pb W
3 6 3
direct
0.000 0.000 0.000 Hg
0.333 0.667 0.667 Hg
0.667 0.333 0.333 Hg
0.000 0.000 0.237 Pb
0.000 0.000 0.763 Pb
0.333 0.667 0.429 Pb
0.333 0.667 0.904 Pb
0.667 0.333 0.096 Pb
0.667 0.333 0.571 Pb
0.000 0.000 0.500 W
0.333 0.667 0.167 W
0.667 0.333 0.833 W
```

## Properties
Magnetization   0.00 μB per formula unit
Crystal system   trigonal
D(E_F)   4.7 states/eV/f.u.
Energy relative to the elements   0.613 eV/atom

=====

NdSm3Hg5 | PBE-GGA | relaxed

Cell and atoms, written as POSCAR:
```
NdSm3Hg5
1.0
9.297 0.000 0.000
-4.649 8.052 0.000
0.000 0.000 6.607
Nd Sm Hg
2 6 10
direct
0.000 0.000 0.000 Nd
0.000 0.000 0.500 Nd
0.000 0.370 0.250 Sm
0.000 0.630 0.750 Sm
0.370 0.000 0.250 Sm
0.370 0.370 0.750 Sm
0.630 0.000 0.750 Sm
0.630 0.630 0.250 Sm
0.000 0.302 0.750 Hg
0.000 0.698 0.250 Hg
0.302 0.000 0.750 Hg
0.302 0.302 0.250 Hg
0.333 0.667 0.000 Hg
0.333 0.667 0.500 Hg
0.667 0.333 0.000 Hg
0.667 0.333 0.500 Hg
0.698 0.000 0.250 Hg
0.698 0.698 0.750 Hg
```

## Properties
Magnetization   0.00 μB per formula unit
Crystal system   hexagonal
D(E_F)   9.8 states/eV/f.u.
Energy relative to the elements   -0.403 eV/atom

=====

NbTlSbTe2 | PBE-GGA | relaxed

Cell and atoms, written as POSCAR:
```
NbTlSbTe2
1.0
5.489 0.000 0.000
0.000 5.489 0.000
0.000 0.000 5.469
Nb Tl Sb Te
1 1 1 2
direct
0.000 0.000 0.000 Nb
0.500 0.500 0.500 Tl
0.000 0.000 0.500 Sb
0.000 0.500 0.000 Te
0.500 0.000 0.000 Te
```

## Properties
Magnetization   0.00 μB per formula unit
Uncorrected formation energy   3.2 kJ per mole of atoms
Offset from the most stable computed form   0 meV per atom
Crystal system   tetragonal
D(E_F)   2.5 states/eV/f.u.

=====

YHo2ThP4 | PBE-GGA | relaxed

Cell and atoms, written as POSCAR:
```
YHo2ThP4
1.0
6.983 0.000 0.000
0.000 4.043 0.000
-2.329 0.000 6.585
Y Ho Th P
1 2 1 4
direct
0.000 0.000 0.000 Y
0.500 0.000 0.500 Ho
0.500 0.500 0.000 Ho
0.000 0.500 0.500 Th
0.254 0.500 0.249 P
0.256 0.000 0.755 P
0.744 0.000 0.245 P
0.746 0.500 0.751 P
```

## Properties
Magnetization   0.00 μB per formula unit
Crystal system   monoclinic
D(E_F)   1.5 states/eV/f.u.
Energy relative to the elements   -1.617 eV/atom

=====

ZrCu2Ru | PBE-GGA | relaxed

Cell and atoms, written as POSCAR:
```
ZrCu2Ru
1.0
6.209 0.000 0.000
0.000 6.209 0.000
0.000 0.000 6.209
Zr Cu Ru
4 8 4
direct
0.000 0.000 0.000 Zr
0.000 0.500 0.500 Zr
0.500 0.000 0.500 Zr
0.500 0.500 0.000 Zr
0.250 0.250 0.250 Cu
0.250 0.250 0.750 Cu
0.250 0.750 0.250 Cu
0.250 0.750 0.750 Cu
0.750 0.250 0.250 Cu
0.750 0.250 0.750 Cu
0.750 0.750 0.250 Cu
0.750 0.750 0.750 Cu
0.000 0.000 0.500 Ru
0.000 0.500 0.000 Ru
0.500 0.000 0.000 Ru
0.500 0.500 0.500 Ru
```

## Properties
Magnetization   0.00 μB per formula unit
Offset from the most stable computed form   202 meV per atom
Crystal system   cubic
D(E_F)   4.2 states/eV/f.u.
Energy relative to the elements   -0.021 eV/atom

=====

CaLuHgIr | PBE-GGA | relaxed

Cell and atoms, written as POSCAR:
```
CaLuHgIr
1.0
7.045 0.000 0.000
0.000 7.045 0.000
0.000 0.000 7.045
Ca Lu Hg Ir
4 4 4 4
direct
0.000 0.000 0.000 Ca
0.000 0.500 0.500 Ca
0.500 0.000 0.500 Ca
0.500 0.500 0.000 Ca
0.000 0.000 0.500 Lu
0.000 0.500 0.000 Lu
0.500 0.000 0.000 Lu
0.500 0.500 0.500 Lu
0.250 0.250 0.250 Hg
0.250 0.750 0.750 Hg
0.750 0.250 0.750 Hg
0.750 0.750 0.250 Hg
0.250 0.250 0.750 Ir
0.250 0.750 0.250 Ir
0.750 0.250 0.250 Ir
0.750 0.750 0.750 Ir
```

## Properties
Magnetization   0.00 μB per formula unit
Crystal system   cubic
D(E_F)   2.9 states/eV/f.u.
Energy relative to the elements   -0.480 eV/atom

=====

TmGePd2 | PBE-GGA | relaxed

Cell and atoms, written as POSCAR:
```
TmGePd2
1.0
4.328 0.000 0.000
0.000 4.328 0.000
0.000 0.000 3.831
Tm Ge Pd
1 1 2
direct
0.000 0.000 0.000 Tm
0.500 0.500 0.000 Ge
0.000 0.500 0.500 Pd
0.500 0.000 0.500 Pd
```

## Properties
Magnetization   0.00 μB per formula unit
Crystal system   tetragonal
D(E_F)   2.1 states/eV/f.u.
Energy relative to the elements   -0.713 eV/atom

=====

La6Tb3Pm | PBE-GGA | relaxed

Cell and atoms, written as POSCAR:
```
La6Tb3Pm
1.0
5.451 -9.844 0.000
5.451 9.844 0.000
0.000 0.000 6.530
La Tb Pm
12 6 2
direct
0.030 0.970 0.500 La
0.069 0.487 0.001 La
0.286 0.714 0.300 La
0.287 0.366 0.187 La
0.366 0.287 0.687 La
0.487 0.069 0.501 La
0.513 0.931 0.001 La
0.634 0.713 0.187 La
0.713 0.634 0.687 La
0.714 0.286 0.800 La
0.931 0.513 0.501 La
0.970 0.030 0.000 La
0.054 0.291 0.604 Tb
0.291 0.054 0.104 Tb
0.385 0.615 0.726 Tb
0.615 0.385 0.226 Tb
0.709 0.946 0.604 Tb
0.946 0.709 0.104 Tb
0.185 0.815 0.724 Pm
0.815 0.185 0.224 Pm
```

## Properties
Magnetization   0.00 μB per formula unit
Offset from the most stable computed form   0 meV per atom
Crystal system   orthorhombic
D(E_F)   14.5 states/eV/f.u.
Energy relative to the elements   0.120 eV/atom

=====

NiSbTe | PBE-GGA | relaxed

Cell and atoms, written as POSCAR:
```
NiSbTe
1.0
6.424 0.000 0.000
0.000 6.787 0.000
-2.129 0.000 6.735
Ni Sb Te
4 4 4
direct
0.121 0.122 0.427 Ni
0.121 0.378 0.927 Ni
0.879 0.622 0.073 Ni
0.879 0.878 0.573 Ni
0.142 0.749 0.397 Sb
0.142 0.751 0.897 Sb
0.858 0.249 0.103 Sb
0.858 0.251 0.603 Sb
0.335 0.123 0.172 Te
0.335 0.377 0.672 Te
0.665 0.623 0.328 Te
0.665 0.877 0.828 Te
```

## Properties
Magnetization   0.00 μB per formula unit
Uncorrected formation energy   -8.3 kJ per mole of atoms
Crystal system   monoclinic
D(E_F)   1.5 states/eV/f.u.

=====

LiTc2Sb | PBE-GGA | relaxed

Cell and atoms, written as POSCAR:
```
LiTc2Sb
1.0
4.315 0.000 0.000
0.000 3.212 0.000
-1.127 0.000 4.575
Li Tc Sb
1 2 1
direct
0.000 0.000 0.000 Li
0.000 0.500 0.500 Tc
0.500 0.000 0.500 Tc
0.500 0.500 0.000 Sb
```

## Properties
Magnetization   0.00 μB per formula unit
Uncorrected formation energy   24.5 kJ per mole of atoms
Crystal system   monoclinic
D(E_F)   3.9 states/eV/f.u.

=====

ScAl2TcSb | PBE-GGA | relaxed

Cell and atoms, written as POSCAR:
```
ScAl2TcSb
1.0
5.131 0.000 0.000
0.000 5.131 0.000
0.000 0.000 5.294
Sc Al Tc Sb
1 2 1 1
direct
0.000 0.000 0.000 Sc
0.000 0.500 0.000 Al
0.500 0.000 0.000 Al
0.500 0.500 0.500 Tc
0.000 0.000 0.500 Sb
```

## Properties
Magnetization   3.66 μB per formula unit
Uncorrected formation energy   126.4 kJ per mole of atoms
Crystal system   tetragonal
D(E_F)   5.2 states/eV/f.u.

=====

Pr2TmTe | PBE-GGA | relaxed

Cell and atoms, written as POSCAR:
```
Pr2TmTe
1.0
4.059 0.000 0.000
0.000 4.059 0.000
0.000 0.000 7.687
Pr Tm Te
2 1 1
direct
0.000 0.000 0.230 Pr
0.000 0.000 0.770 Pr
0.500 0.500 0.500 Tm
0.500 0.500 0.000 Te
```

## Properties
Magnetization   0.00 μB per formula unit
Uncorrected formation energy   -55.1 kJ per mole of atoms
Offset from the most stable computed form   7 meV per atom
Crystal system   tetragonal
D(E_F)   5.0 states/eV/f.u.

=====

DyZnNi3 | PBE-GGA | relaxed

Cell and atoms, written as POSCAR:
```
DyZnNi3
1.0
2.312 -8.027 0.000
2.312 8.027 0.000
0.000 0.000 4.506
Dy Zn Ni
2 2 6
direct
0.087 0.913 0.750 Dy
0.913 0.087 0.250 Dy
0.363 0.637 0.750 Zn
0.637 0.363 0.250 Zn
0.030 0.492 0.250 Ni
0.492 0.030 0.750 Ni
0.500 0.500 0.000 Ni
0.500 0.500 0.500 Ni
0.508 0.970 0.250 Ni
0.970 0.508 0.750 Ni
```

## Properties
Magnetization   0.17 μB per formula unit
Crystal system   orthorhombic
D(E_F)   4.6 states/eV/f.u.
Energy relative to the elements   -0.010 eV/atom

=====

TeRh2 | PBE-GGA | relaxed

Cell and atoms, written as POSCAR:
```
TeRh2
1.0
0.000 3.767 3.767
3.767 0.000 3.767
3.767 3.767 0.000
Te Rh
2 4
direct
0.125 0.125 0.125 Te
0.875 0.875 0.875 Te
0.000 0.500 0.500 Rh
0.500 0.000 0.500 Rh
0.500 0.500 0.000 Rh
0.500 0.500 0.500 Rh
```

## Properties
Magnetization   0.00 μB per formula unit
Uncorrected formation energy   33.7 kJ per mole of atoms
Offset from the most stable computed form   519 meV per atom
Crystal system   cubic
D(E_F)   4.7 states/eV/f.u.

=====

HfIr2Ru2 | PBE-GGA | relaxed

Cell and atoms, written as POSCAR:
```
HfIr2Ru2
1.0
3.649 0.000 0.000
0.000 3.649 0.000
0.000 0.000 12.591
Hf Ir Ru
2 4 4
direct
0.000 0.000 0.000 Hf
0.500 0.500 0.500 Hf
0.000 0.000 0.402 Ir
0.000 0.000 0.598 Ir
0.500 0.500 0.098 Ir
0.500 0.500 0.902 Ir
0.000 0.500 0.250 Ru
0.000 0.500 0.750 Ru
0.500 0.000 0.250 Ru
0.500 0.000 0.750 Ru
```

## Properties
Magnetization   0.00 μB per formula unit
Offset from the most stable computed form   64 meV per atom
Crystal system   tetragonal
D(E_F)   5.3 states/eV/f.u.
Energy relative to the elements   -0.098 eV/atom

=====

Total DFT energy (no corrections) values, unit eV/atom, following the record order: -2.577; -4.555; -2.440; -7.362; -2.900; -5.888; -4.475; -5.370; -4.971; -4.555; -2.674; -4.535; -7.201; -6.525; -4.401; -5.581; -4.701; -4.434; -6.438; -4.351; -4.865; -4.654; -5.599; -9.343.